[1]
The following is a PBE calculation of CoPOsS after structural relaxation, from Alexandria via LeMat-Bulk.

Structure (POSCAR):
```
CoPOsS
1.0
3.6389 -1.4981 0.0000
3.6389 1.4981 0.0000
-0.2414 0.0000 5.0654
Co P Os S
1 1 1 1
direct
0.0000 0.0000 0.0000 Co
0.7278 0.7278 0.1873 P
0.1199 0.1199 0.5031 Os
0.4050 0.4050 0.7148 S
```

Properties
Final energy in eV/atom: -7.102
Theoretical density in Mg/m³: 9.387
Space group: Cm, No. 8
Offset from the most stable computed form in eV/atom: 0.076
ΔE_f (raw) in eV/atom: -0.134

***

[2]
The following is a PBE calculation of CoPOsS after structural relaxation, from Alexandria via LeMat-Bulk.

Structure (POSCAR):
```
CoPOsS
1.0
3.5782 -1.5423 0.0000
3.5782 1.5423 0.0000
-3.0585 0.0000 5.1603
Co P Os S
1 1 1 1
direct
0.0000 0.0000 0.0000 Co
0.5685 0.5685 0.3205 P
0.3573 0.3573 0.5104 Os
0.6617 0.6617 0.9020 S
```

Properties
Final energy in eV/atom: -7.117
Theoretical density in Mg/m³: 9.102
Space group: Cm, No. 8
Offset from the most stable computed form in eV/atom: 0.061
ΔE_f (raw) in eV/atom: -0.149

***

[3]
The following is a PBE calculation of CoSi2POs after structural relaxation, from Alexandria via LeMat-Bulk.

Structure (POSCAR):
```
CoSi2POs
1.0
4.2838 0.0000 0.0000
0.0000 4.2838 0.0000
0.0000 0.0000 4.1127
Co Si P Os
1 2 1 1
direct
0.0000 0.0000 0.0000 Co
0.0000 0.5000 0.0000 Si
0.5000 0.0000 0.0000 Si
0.0000 0.0000 0.5000 P
0.5000 0.5000 0.5000 Os
```

Properties
Final energy in eV/atom: -6.045
Theoretical density in Mg/m³: 7.400
Space group: P4/mmm, No. 123
ΔE_f (raw) in eV/atom: 0.873

***

[4]
The following is a PBE calculation of SmCoP2Os after structural relaxation, from Alexandria via LeMat-Bulk.

Structure (POSCAR):
```
SmCoP2Os
1.0
-1.9579 1.9579 5.0212
1.9579 -1.9579 5.0212
1.9579 1.9579 -5.0212
Sm Co P Os
1 1 2 1
direct
0.0000 0.0000 0.0000 Sm
0.7500 0.2500 0.5000 Co
0.3744 0.3744 0.0000 P
0.6256 0.6256 0.0000 P
0.2500 0.7500 0.5000 Os
```

Properties
Final energy in eV/atom: -7.605
Theoretical density in Mg/m³: 9.953
Formation energy from the elements in meV per atom: -831
Space group: I-4m2, No. 119

***

[5]
The following is a PBE calculation of CoSn2POs after structural relaxation, from Alexandria via LeMat-Bulk.

Structure (POSCAR):
```
CoSn2POs
1.0
4.9164 0.0000 0.0000
0.0000 4.9164 0.0000
0.0000 0.0000 3.9808
Co Sn P Os
1 2 1 1
direct
0.0000 0.0000 0.0000 Co
0.0000 0.5000 0.0000 Sn
0.5000 0.0000 0.0000 Sn
0.0000 0.0000 0.5000 P
0.5000 0.5000 0.5000 Os
```

Properties
Final energy in eV/atom: -5.501
Theoretical density in Mg/m³: 8.932
Formation energy from the elements in meV per atom: 849
Space group: P4/mmm, No. 123

***

[6]
The following is a PBE calculation of SrCoP2Os after structural relaxation, from Alexandria via LeMat-Bulk.

Structure (POSCAR):
```
SrCoP2Os
1.0
-1.9411 1.9411 5.9375
1.9411 -1.9411 5.9375
1.9411 1.9411 -5.9375
Sr Co P Os
1 1 2 1
direct
0.0000 0.0000 0.0000 Sr
0.7500 0.2500 0.5000 Co
0.3527 0.3527 0.0000 P
0.6473 0.6473 0.0000 P
0.2500 0.7500 0.5000 Os
```

Properties
Final energy in eV/atom: -6.930
Theoretical density in Mg/m³: 7.399
Formation energy from the elements in meV per atom: -763
Space group: I-4m2, No. 119

***

[7]
The following is a PBE calculation of Tl2CoPOs after structural relaxation, from Alexandria via LeMat-Bulk.

Structure (POSCAR):
```
Tl2CoPOs
1.0
5.2623 0.0000 0.0000
0.0000 5.2623 0.0000
0.0000 0.0000 4.5194
Tl Co P Os
2 1 1 1
direct
0.0000 0.5000 0.0000 Tl
0.5000 0.0000 0.0000 Tl
0.0000 0.0000 0.5000 Co
0.5000 0.5000 0.5000 P
0.0000 0.0000 0.0000 Os
```

Properties
Final energy in eV/atom: -4.399
Theoretical density in Mg/m³: 9.141
Formation energy from the elements in meV per atom: 1296
Space group: P4/mmm, No. 123

***

[8]
The following is a PBE calculation of PaCoOs after structural relaxation, from Alexandria via LeMat-Bulk.

Structure (POSCAR):
```
PaCoOs
1.0
5.1328 0.0000 0.0000
0.0000 2.9537 0.0000
0.0000 0.0000 6.6010
Pa Co Os
2 2 2
direct
0.2500 0.0000 0.1461 Pa
0.7500 0.0000 0.8539 Pa
0.0000 0.0000 0.5000 Co
0.5000 0.0000 0.5000 Co
0.2500 0.5000 0.7525 Os
0.7500 0.5000 0.2475 Os
```

Properties
Final energy in eV/atom: -9.278
Theoretical density in Mg/m³: 15.936
Formation energy from the elements in meV per atom: -1
Space group: Pmma, No. 51
Offset from the most stable computed form in eV/atom: 0.332

***

[9]
The following is a PBE calculation of Pa3CoOs after structural relaxation, from Alexandria via LeMat-Bulk.

Structure (POSCAR):
```
Pa3CoOs
1.0
9.7487 -1.7685 0.0000
9.7487 1.7685 0.0000
-1.4293 0.0000 6.0361
Pa Co Os
6 2 2
direct
0.0115 0.0115 0.2290 Pa
0.1887 0.1887 0.5907 Pa
0.3609 0.3609 0.8997 Pa
0.6391 0.6391 0.1003 Pa
0.8113 0.8113 0.4093 Pa
0.9885 0.9885 0.7710 Pa
0.2337 0.2337 0.1244 Co
0.7663 0.7663 0.8756 Co
0.4228 0.4228 0.4078 Os
0.5772 0.5772 0.5922 Os
```

Properties
Final energy in eV/atom: -9.626
Theoretical density in Mg/m³: 15.035
Formation energy from the elements in meV per atom: -262
Space group: C2/m, No. 12

***

[10]
The following is a PBE calculation of PaCoOs2 after structural relaxation, from Alexandria via LeMat-Bulk.

Structure (POSCAR):
```
PaCoOs2
1.0
3.9819 0.0000 0.0000
0.0000 3.9819 0.0000
0.0000 0.0000 4.0478
Pa Co Os
1 1 2
direct
0.0000 0.0000 0.0000 Pa
0.5000 0.5000 0.0000 Co
0.0000 0.5000 0.5000 Os
0.5000 0.0000 0.5000 Os
```

Properties
Final energy in eV/atom: -9.939
Theoretical density in Mg/m³: 17.346
Formation energy from the elements in meV per atom: -174
Space group: P4/mmm, No. 123
Offset from the most stable computed form in eV/atom: 0.000

***

[11]
The following is a PBE calculation of PaCoOs2 after structural relaxation, from Alexandria via LeMat-Bulk.

Structure (POSCAR):
```
PaCoOs2
1.0
2.2206 1.2820 4.4710
-2.2206 1.2820 4.4710
0.0000 -2.5641 4.4710
Pa Co Os
1 1 2
direct
0.0000 0.0000 0.0000 Pa
0.5000 0.5000 0.5000 Co
0.1879 0.1879 0.1879 Os
0.8121 0.8121 0.8121 Os
```

Properties
Final energy in eV/atom: -9.714
Theoretical density in Mg/m³: 14.578
Formation energy from the elements in meV per atom: 51
Space group: R-3m, No. 166
Offset from the most stable computed form in eV/atom: 0.225

***

[12]
The following is a PBE calculation of PaCoOs after structural relaxation, from Alexandria via LeMat-Bulk.

Structure (POSCAR):
```
PaCoOs
1.0
1.8103 -6.9818 0.0000
1.8103 6.9818 0.0000
0.0000 0.0000 3.9566
Pa Co Os
2 2 2
direct
0.0756 0.9244 0.7500 Pa
0.9244 0.0756 0.2500 Pa
0.3778 0.6222 0.7500 Co
0.6222 0.3778 0.2500 Co
0.2514 0.7486 0.2500 Os
0.7486 0.2514 0.7500 Os
```

Properties
Final energy in eV/atom: -9.352
Theoretical density in Mg/m³: 15.945
Formation energy from the elements in meV per atom: -74
Space group: Cmcm, No. 63
Offset from the most stable computed form in eV/atom: 0.259

***

[13]
The following is a PBE calculation of PaCoOs after structural relaxation, from Alexandria via LeMat-Bulk.

Structure (POSCAR):
```
PaCoOs
1.0
-2.5145 2.6372 3.7124
2.5145 -2.6372 3.7124
2.5145 2.6372 -3.7124
Pa Co Os
2 2 2
direct
0.3758 0.1258 0.2500 Pa
0.6242 0.8742 0.7500 Pa
0.0000 0.0000 0.5000 Co
0.0000 0.5000 0.0000 Co
0.0000 0.5000 0.5000 Os
0.5000 0.5000 0.0000 Os
```

Properties
Final energy in eV/atom: -9.610
Theoretical density in Mg/m³: 16.195
Formation energy from the elements in meV per atom: -333
Space group: Imma, No. 74
Offset from the most stable computed form in eV/atom: 0.000

***

[14]
The following is a PBE calculation of PaCoOs after structural relaxation, from Alexandria via LeMat-Bulk.

Structure (POSCAR):
```
PaCoOs
1.0
4.1254 0.0000 0.0000
-2.0627 3.5727 0.0000
0.0000 0.0000 3.7127
Pa Co Os
1 1 1
direct
0.0000 0.0000 0.0000 Pa
0.3333 0.6667 0.5000 Co
0.6667 0.3333 0.5000 Os
```

Properties
Final energy in eV/atom: -9.426
Theoretical density in Mg/m³: 14.572
Formation energy from the elements in meV per atom: -149
Space group: P-6m2, No. 187
Offset from the most stable computed form in eV/atom: 0.184